Ho2Be3Cu12Pd: relaxed, PBE.

Energy of formation from the pure elements ... 0.3324 eV per atom
Space-group type ... R-3m (166)

Cell: 7.194 7.194 7.194 Å, 63.61 63.61 63.61°
Fractional positions:
Ho 0.099 0.099 0.099
Ho 0.901 0.901 0.901
Be 0.000 0.500 0.500
Be 0.500 0.000 0.500
Be 0.500 0.500 0.000
Cu 0.097 0.635 0.635
Cu 0.166 0.166 0.608
Cu 0.166 0.608 0.166
Cu 0.365 0.365 0.903
Cu 0.365 0.903 0.365
Cu 0.392 0.834 0.834
Cu 0.608 0.166 0.166
Cu 0.635 0.097 0.635
Cu 0.635 0.635 0.097
Cu 0.834 0.392 0.834
Cu 0.834 0.834 0.392
Cu 0.903 0.365 0.365
Pd 0.500 0.500 0.500

=====

PmHoBeCu: relaxed, PBE.

Energy of formation from the pure elements ... -0.0238 eV per atom
Space-group type ... F-43m (216)

Cell: 4.931 4.931 4.931 Å, 60.00 60.00 60.00°
Fractional positions:
Pm 0.000 0.000 0.000
Ho 0.500 0.500 0.500
Be 0.750 0.750 0.750
Cu 0.250 0.250 0.250

=====

PrHoBeCu: relaxed, PBE.

Energy of formation from the pure elements ... 0.0055 eV per atom
Space-group type ... F-43m (216)

Cell: 4.974 4.974 4.974 Å, 60.00 60.00 60.00°
Fractional positions:
Pr 0.000 0.000 0.000
Ho 0.500 0.500 0.500
Be 0.250 0.250 0.250
Cu 0.750 0.750 0.750

=====

Ho2Be4CuPt3: relaxed, PBE.

Energy of formation from the pure elements ... -0.7461 eV per atom
Space-group type ... P-4m2 (115)

Cell: 3.984 3.984 9.448 Å, 90.00 90.00 90.00°
Fractional positions:
Ho 0.000 0.500 0.249
Ho 0.500 0.000 0.751
Be 0.000 0.000 0.500
Be 0.000 0.500 0.877
Be 0.500 0.000 0.123
Be 0.500 0.500 0.500
Cu 0.500 0.500 0.000
Pt 0.000 0.000 0.000
Pt 0.000 0.500 0.630
Pt 0.500 0.000 0.370